Below is a relaxed Sm3Dy4Y5 crystal, with properties calculated at the PBE-GGA level.

abc: 5.914 8.571 9.680
angles: 106.11 72.21 69.82
Each line ends with the local moment (μB).
Fractional positions:
Sm  0.522  0.687  0.270  0.00
Sm  0.000  0.500  0.500  0.11
Sm  0.478  0.313  0.730  0.00
Dy  0.860  0.221  0.058  0.00
Dy  0.167  0.045  0.621  0.00
Dy  0.833  0.955  0.379  0.00
Dy  0.140  0.779  0.942  0.00
Y  0.626  0.948  0.800  0.01
Y  0.500  0.500  0.500  0.11
Y  0.215  0.458  0.112  0.01
Y  0.785  0.542  0.888  0.01
Y  0.374  0.052  0.200  0.01

## Properties
For the size of the total moment, the calculation gives 0.347 μB/cell. As for the space group: C2/m, No. 12. The value obtained for the formation energy is 0.233 eV/atom. For the density of states at the Fermi level, the calculation gives 19.239 states/eV/cell. The energy above the most stable polymorph in this dataset comes out at 215 meV/atom.

Below is a relaxed Tm7Al2Zn2 crystal, with properties calculated at the PBE-GGA level.

abc: 6.565 7.305 6.565
angles: 90.00 110.21 90.00
Fractional positions:
Tm  0.000  0.281  0.500
Tm  0.500  0.719  0.000
Tm  0.000  0.719  0.500
Tm  0.500  0.281  0.000
Tm  0.000  0.000  0.000
Tm  0.500  0.746  0.500
Tm  0.500  0.254  0.500
Al  0.828  0.500  0.828
Al  0.172  0.500  0.172
Zn  0.710  0.000  0.290
Zn  0.290  0.000  0.710

## Properties
For the size of the total moment, the calculation gives 0.000 μB/cell. As for the space group: Cmmm, No. 65. The value obtained for the formation energy is -0.002 eV/atom. For the density of states at the Fermi level, the calculation gives 11.255 states/eV/cell.

Below is a relaxed Ho5InHg6 crystal, with properties calculated at the PBE-GGA level.

abc: 5.142 7.461 9.068
angles: 114.29 106.56 90.00
Fractional positions:
Hg  0.170  0.426  0.341
Hg  0.170  0.915  0.341
Hg  0.500  0.265  0.000
Hg  0.500  0.735  0.000
Hg  0.830  0.085  0.659
Hg  0.830  0.574  0.659
Ho  0.347  0.847  0.694
Ho  0.673  0.673  0.345
Ho  0.000  0.500  0.000
Ho  0.327  0.327  0.655
Ho  0.653  0.153  0.306
In  0.000  0.000  0.000

## Properties
For the size of the total moment, the calculation gives 0.000 μB/cell. As for the space group: C2/m, No. 12. The value obtained for the formation energy is -0.439 eV/atom. For the density of states at the Fermi level, the calculation gives 7.862 states/eV/cell.

Below is a relaxed NaLiRe3 crystal, with properties calculated at the PBE-GGA level.

abc: 4.533 4.533 4.533
angles: 90.00 90.00 90.00
Each line ends with the local moment (μB).
Fractional positions:
Re  0.000  0.500  0.000  0.82
Re  0.000  0.000  0.500  0.97
Re  0.500  0.000  0.000  0.96
Li  0.500  0.500  0.500  -0.01
Na  0.000  0.000  0.000  0.07

## Properties
For the size of the total moment, the calculation gives 3.025 μB/cell. As for the space group: Pm-3m, No. 221. The value obtained for the formation energy is 3.147 eV/atom. For the density of states at the Fermi level, the calculation gives 3.677 states/eV/cell. The energy above the most stable polymorph in this dataset comes out at 1282 meV/atom.

Below is a relaxed KInFe2 crystal, with properties calculated at the PBE-GGA level.

abc: 2.900 4.301 7.332
angles: 90.00 90.00 90.00
Each line ends with the local moment (μB).
Fractional positions:
Fe  0.000  0.000  0.099  2.60
Fe  0.000  0.000  0.401  2.60
In  0.500  0.500  0.250  -0.11
K  0.500  0.500  0.750  -0.01

## Properties
For the size of the total moment, the calculation gives 5.174 μB/cell. As for the space group: Pmmm, No. 47. The value obtained for the formation energy is 0.649 eV/atom. For the density of states at the Fermi level, the calculation gives 3.312 states/eV/cell.

Below is a relaxed MgNpOs crystal, with properties calculated at the PBE-GGA level.

abc: 6.992 6.992 6.992
angles: 88.91 88.91 88.91
Each line ends with the local moment (μB).
Fractional positions:
Os  0.258  0.744  0.068  -0.04
Os  0.744  0.068  0.258  -0.04
Os  0.068  0.258  0.744  -0.04
Os  0.932  0.742  0.256  -0.04
Os  0.256  0.932  0.742  -0.04
Os  0.742  0.256  0.932  -0.04
Np  0.616  0.495  0.217  0.79
Np  0.505  0.783  0.384  0.79
Np  0.783  0.384  0.505  0.79
Np  0.217  0.616  0.495  0.79
Np  0.495  0.217  0.616  0.79
Np  0.384  0.505  0.783  0.79
Mg  0.064  0.380  0.133  0.00
Mg  0.620  0.867  0.936  0.00
Mg  0.867  0.936  0.620  0.00
Mg  0.133  0.064  0.380  0.00
Mg  0.380  0.133  0.064  0.00
Mg  0.936  0.620  0.867  0.00

## Properties
For the size of the total moment, the calculation gives 4.691 μB/cell. As for the space group: R-3, No. 148. The value obtained for the formation energy is 0.183 eV/atom. For the density of states at the Fermi level, the calculation gives 27.170 states/eV/cell.